[1]
This record from the Alexandria database describes crystalline Gd2ZnTe2S2O14 at its relaxed geometry. The functional is PBE.

Geometry as extended XYZ:
```
21
Lattice="-3.883 0.356 3.663 -5.897 -0.058 -5.394 3.781 -7.206 1.307" Properties=species:S:1:pos:R:3 pbc="T T T"
Gd 1.905 -7.078 0.232
Gd -7.905 0.170 -0.656
Zn 1.890 -3.603 0.654
Te -1.115 -4.581 1.318
Te -4.885 -2.328 -1.742
S -3.468 -1.546 1.794
S -2.532 -5.362 -2.218
O -4.913 -1.550 1.446
O -1.087 -5.358 -1.870
O -3.069 -2.792 2.486
O -2.931 -4.116 -2.910
O -2.642 -1.395 0.570
O -3.359 -5.513 -0.995
O -3.301 -0.353 2.708
O -2.699 -6.555 -3.132
O -2.118 -6.184 1.572
O -3.882 -0.724 -1.996
O 0.605 -5.311 0.957
O -6.605 -1.597 -1.381
O -0.835 -4.528 3.221
O -5.166 -2.381 -3.645
```

Summary:
Formation energy without anion corrections ... -1892 meV per atom
Raw total energy ... -7.291 eV/atom
Symmetry ... P-1

[2]
This record from the Alexandria database describes crystalline Pr2Er4Sc5 at its relaxed geometry. The functional is PBE.

Geometry as extended XYZ:
```
11
Lattice="-2.448 -1.552 -1.818 5.838 -3.258 -5.080 -2.191 -7.385 9.254" Properties=species:S:1:pos:R:3 pbc="T T T"
Pr 3.821 -7.310 1.095
Pr -0.174 -3.333 3.079
Er -1.279 -7.158 4.613
Er 1.141 -9.432 3.296
Er 2.478 -5.037 -2.257
Er 0.059 -2.763 -0.940
Sc 2.134 -4.453 0.928
Sc 5.136 -3.724 -3.737
Sc 2.919 -1.629 -2.540
Sc -1.489 -6.919 7.911
Sc 1.513 -6.190 3.246
```

Summary:
Raw total energy ... -5.273 eV/atom
ΔH_f (0 K) ... 0.13 eV/atom
Symmetry ... P2/m

[3]
This record from the Alexandria database describes crystalline K4PbCl at its relaxed geometry. The functional is PBE.

Geometry as extended XYZ:
```
6
Lattice="2.251 -4.775 5.086 -2.362 0.621 6.912 -4.689 -4.930 2.728" Properties=species:S:1:pos:R:3 pbc="T T T"
K -0.675 -5.795 8.065
K -4.144 -5.872 6.886
K -2.981 -3.096 8.978
K -1.800 -3.407 5.522
Pb -3.600 -6.813 11.044
Cl 0.000 0.000 0.000
```

Summary:
Formation energy without anion corrections ... -100 meV per atom
Raw total energy ... -1.758 eV/atom
Symmetry ... F-43m

[4]
This record from the Alexandria database describes crystalline Ti2CrCdAu at its relaxed geometry. The functional is PBE.

Geometry as extended XYZ:
```
5
Lattice="-1.130 4.233 -0.032 -4.855 -1.294 0.228 0.183 0.082 4.376" Properties=species:S:1:pos:R:3 pbc="T T T"
Cr 0.000 0.000 0.000
Ti 0.092 0.041 2.188
Ti -0.565 2.116 -0.016
Au -2.901 1.511 2.286
Cd -2.428 -0.647 0.114
```

Summary:
Raw total energy ... -5.407 eV/atom
ΔH_f (0 K) ... 0.51 eV/atom
Symmetry ... P4/mmm

[5]
This record from the Alexandria database describes crystalline K2CdCl4 at its relaxed geometry. The functional is PBE.

Geometry as extended XYZ:
```
7
Lattice="4.100 0.000 0.000 0.000 8.278 -0.579 -2.050 -4.551 6.273" Properties=species:S:1:pos:R:3 pbc="T T T"
K 2.050 3.743 1.550
K 0.000 -0.016 4.144
Cd 0.000 0.000 0.000
Cl 2.050 -2.089 5.546
Cl 0.000 5.816 0.148
Cl 2.050 0.522 1.775
Cl 0.000 3.205 3.919
```

Summary:
Formation energy without anion corrections ... -1582 meV per atom
Raw total energy ... -3.081 eV/atom
Symmetry ... C2/m

[6]
This record from the Alexandria database describes crystalline La2ZnNi5Rh2 at its relaxed geometry. The functional is PBE.

Geometry as extended XYZ:
```
20
Lattice="-2.046 -1.107 -2.944 -4.143 -6.466 5.310 -6.641 6.146 2.303" Properties=species:S:1:pos:R:3 pbc="T T T"
La -3.937 -3.288 3.972
La -6.846 2.969 3.641
La -2.888 0.891 1.672
La -7.895 -1.211 5.942
Zn 0.000 0.000 0.000
Zn -5.392 -0.160 3.807
Ni -2.159 -1.413 -0.359
Ni -10.670 -0.014 5.028
Ni -6.660 4.094 0.698
Ni -6.816 -2.254 3.193
Ni -6.169 -5.521 3.972
Ni -6.013 0.827 1.477
Ni -7.876 0.069 3.056
Ni -4.953 -1.496 1.613
Ni -3.094 -3.787 1.183
Ni -4.343 2.520 -0.321
Rh -4.734 3.031 2.150
Rh -6.050 -3.351 5.464
Rh -8.385 1.260 5.352
Rh -2.399 -1.580 2.261
```

Summary:
Raw total energy ... -5.679 eV/atom
ΔH_f (0 K) ... -0.21 eV/atom
Symmetry ... P4/mbm